Density functional theory data (GGA-PBE) for crystalline TbCe2Ga3Pt4 at its relaxed geometry.

The energy of formation from the pure elements comes out at -0.9252 eV/atom. The calculation puts the magnetization at 1.9 μB per formula unit.

It has space group P-4m2 (No. 115), with a = 4.234 Å, b = 4.234 Å, c = 11.517 Å, α = 90.00°, β = 90.00° and γ = 90.00°. Symmetry generates all atoms from Tb at (0.000, 0.000, 0.000), Ce at (0.000, 0.500, 0.730), Ga at (0.000, 0.500, 0.377), Ga at (0.500, 0.500, 0.000), Pt at (0.000, 0.000, 0.500), Pt at (0.000, 0.500, 0.160) and Pt at (0.500, 0.500, 0.500).